[1]
## LaTl2Tc (GGA-PBEsol)

Data for crystalline LaTl2Tc at its relaxed geometry.

Unit cell a=3.496 b=6.700 c=6.700 alpha=39.06 beta=90.00 gamma=90.00
Fractional coordinates of all 4 atoms:
1 La 0.000 0.000 0.000
2 Tl 0.000 0.292 0.292
3 Tl 0.500 0.684 0.684
4 Tc 0.500 0.468 0.468

[2]
## LaTl2Tc (GGA-PBEsol)

Data for crystalline LaTl2Tc at its relaxed geometry.

Unit cell a=3.855 b=4.751 c=5.054 alpha=90.00 beta=90.00 gamma=90.00
Fractional coordinates of all 4 atoms:
1 La 0.000 0.000 0.000
2 Tl 0.000 0.500 0.500
3 Tl 0.500 0.000 0.500
4 Tc 0.500 0.500 0.000

Formation energy from the elements, record by record: 4.91, 7.26 kcal/mol of atoms
Distance to the lowest polymorph of the same formula, record by record: 0, 102 meV/atom